Crystalline TlPO3 at its relaxed geometry, computed with PBE-GGA.

Cell lengths 3.7454, 3.7454, 3.7454 Å; angles 90.00, 90.00, 90.00 degrees
Closest atoms and distances in Å follow each position.
Fractional coordinates of all 5 atoms:
P 0.0000 0.0000 0.0000  6 O 1.87
Tl 0.5000 0.5000 0.5000  12 O 2.65
O 0.0000 0.5000 0.0000  2 P 1.87
O 0.0000 0.0000 0.5000  2 P 1.87
O 0.5000 0.0000 0.0000  2 P 1.87

## Properties
**Formation energy from raw total energies**: -744 meV per atom

Crystalline TlPO4 at its relaxed geometry, computed with PBE-GGA.

Cell lengths 4.9658, 4.9658, 7.2562 Å; angles 90.00, 90.00, 112.83 degrees
Closest atoms and distances in Å follow each position.
Fractional coordinates of all 12 atoms:
Tl 0.0000 0.0000 0.5000  6 O 2.17-2.35
Tl 0.0000 0.0000 0.0000  6 O 2.17-2.35
P 0.6495 0.3505 0.2500  4 O 1.54-1.58
P 0.3505 0.6495 0.7500  4 O 1.54-1.58
O 0.2551 0.7449 0.5683  1 P 1.54
O 0.7449 0.2551 0.0683  1 P 1.54
O 0.7449 0.2551 0.4317  1 P 1.54
O 0.2551 0.7449 0.9317  1 P 1.54
O 0.6950 0.7706 0.7500  1 P 1.58
O 0.3050 0.2294 0.2500  1 P 1.58
O 0.7706 0.6950 0.2500  1 P 1.58
O 0.2294 0.3050 0.7500  1 P 1.58

## Properties
**Formation energy from raw total energies**: -1593 meV per atom

| no. | DFT total energy (eV/cell) |
| --- | --- |
| 1 | -26.37 |
| 2 | -74.33 |